## NdSmErPu (PBE-GGA)

Data for an optimized crystal structure of NdSmErPu.

Unit cell a=5.657 b=5.657 c=5.657 alpha=60.00 beta=60.00 gamma=60.00
Site moments in Bohr magnetons follow the coordinates.
Element x y z (fractional)
Er (0.000, 0.000, 0.000)  0.36
Sm (0.250, 0.250, 0.250)  0.26
Nd (0.750, 0.750, 0.750)  0.26
Pu (0.500, 0.500, 0.500)  5.63

Values from the calculation:
Space group   F-43m, No. 216
ΔH_f (0 K)   0.21 eV per atom
Fermi-level density of states   3.16 states/eV/atom

## NaCoAs (PBE-GGA)

Data for an optimized crystal structure of NaCoAs.

Unit cell a=3.148 b=4.190 c=9.904 alpha=84.79 beta=90.10 gamma=67.85
Element x y z (fractional)
As (0.420, 0.086, 0.569)
Co (0.696, 0.529, 0.508)
Co (0.950, 0.025, 0.374)
As (0.226, 0.469, 0.312)
Na (0.478, 0.961, 0.098)
Na (0.167, 0.594, 0.783)

Values from the calculation:
Space group   P-1, No. 2
ΔH_f (0 K)   -0.18 eV per atom
Fermi-level density of states   0.43 states/eV/atom

## MgBiPO2 (PBE-GGA)

Data for an optimized crystal structure of MgBiPO2.

Unit cell a=4.169 b=4.169 c=5.500 alpha=90.00 beta=90.00 gamma=90.00
Element x y z (fractional)
O (0.500, 0.000, 0.000)
P (0.000, 0.000, 0.500)
Bi (0.000, 0.000, 0.000)
O (0.000, 0.500, 0.000)
Mg (0.500, 0.500, 0.500)

Values from the calculation:
Space group   P4/mmm, No. 123
Formation energy from raw total energies   -0.27 eV per atom
Fermi-level density of states   0.51 states/eV/atom

## CaZnNO2 (PBE-GGA)

Data for an optimized crystal structure of CaZnNO2.

Unit cell a=4.030 b=4.030 c=3.791 alpha=90.00 beta=90.00 gamma=90.00
Site moments in Bohr magnetons follow the coordinates.
Element x y z (fractional)
N (0.000, 0.000, 0.500)  0.94
O (0.500, 0.000, 0.000)  0.35
Ca (0.500, 0.500, 0.500)  0.00
O (0.000, 0.500, 0.000)  0.35
Zn (0.000, 0.000, 0.000)  0.08

Values from the calculation:
Space group   P4/mmm, No. 123
Formation energy from raw total energies   -0.59 eV per atom
Fermi-level density of states   0.28 states/eV/atom

## Pr2ScSb2 (PBE-GGA)

Data for an optimized crystal structure of Pr2ScSb2.

Unit cell a=6.335 b=8.207 c=8.011 alpha=120.81 beta=113.29 gamma=90.00
Site moments in Bohr magnetons follow the coordinates.
Element x y z (fractional)
Sb (0.107, 0.866, 0.215)  -0.01
Sb (0.893, 0.134, 0.785)  -0.01
Pr (0.646, 0.999, 0.293)  0.03
Sb (0.393, 0.652, 0.785)  -0.01
Sc (0.750, 0.500, 0.000)  0.31
Sb (0.607, 0.348, 0.215)  -0.01
Sc (0.250, 0.500, 0.000)  0.31
Pr (0.354, 0.001, 0.707)  0.03
Pr (0.146, 0.293, 0.293)  0.03
Pr (0.854, 0.707, 0.707)  0.03

Values from the calculation:
Space group   Ibam, No. 72
Formation energy from raw total energies   -0.86 eV per atom
Fermi-level density of states   0.83 states/eV/atom

## DyY2Ho3S6 (PBE-GGA)

Data for an optimized crystal structure of DyY2Ho3S6.

Unit cell a=6.757 b=6.757 c=6.755 alpha=99.56 beta=99.56 gamma=120.22
Element x y z (fractional)
S (0.752, 0.752, 0.253)
Dy (0.000, 0.000, 0.000)
Ho (0.167, 0.833, 0.500)
Ho (0.500, 0.500, 0.500)
Ho (0.833, 0.167, 0.500)
Y (0.333, 0.667, 0.000)
Y (0.667, 0.333, 0.000)
S (0.248, 0.248, 0.747)
S (0.084, 0.417, 0.253)
S (0.417, 0.084, 0.253)
S (0.916, 0.583, 0.747)
S (0.583, 0.916, 0.747)

Values from the calculation:
Space group   C2/m, No. 12
Formation energy from raw total energies   -1.99 eV per atom
Fermi-level density of states   0.41 states/eV/atom